This record from the Alexandria database describes a relaxed H2S3 crystal. The functional is GGA-PBE.

Computed properties:
Space group: Fdd2
VASP energy in eV per cell: -38.64

a b c (Å): 4.6819 6.3427 8.0363
angles (deg): 83.83 73.06 68.34
Last column: nearest neighbours and their distance in Å.
Atoms (fractional coordinates):
1 S 0.6987 0.7157 0.9832  1 H 1.36
2 H 0.5610 0.8378 0.6552  1 S 1.36
3 S 0.6645 0.7843 0.4832  1 H 1.36
4 H 0.6488 0.6622 0.1552  1 S 1.36
5 S 0.9319 0.2158 0.5168  1 H 1.36
6 H 0.4662 0.3378 0.8447  1 S 1.36
7 H 0.0541 0.1622 0.3447  1 S 1.36
8 S 0.3977 0.2842 0.0168  1 H 1.36
9 S 0.2886 0.0000 0.0000  2 S 2.07
10 S 0.5386 0.5000 0.5000  2 S 2.07



This record from the Alexandria database describes a relaxed Ca2AcIn2Hg2 crystal. The functional is GGA-PBE.

Computed properties:
ΔE_f in eV per atom: -0.410
Space group: R-3m
VASP energy in eV per cell: -17.06

a b c (Å): 5.0203 5.0203 10.2342
angles (deg): 75.80 75.80 60.00
Last column: nearest neighbours and their distance in Å.
Atoms (fractional coordinates):
1 In 0.7477 0.7477 0.7570  3 Hg 2.93, 3 Ca 3.23
2 Ac 0.0000 0.0000 0.0000  6 Hg 3.50, 6 In 3.75, 2 Ca 3.81
3 Hg 0.6001 0.6001 0.1998  3 In 2.93
4 Ca 0.8708 0.8708 0.3877  3 In 3.23, 3 Hg 3.44
5 Ca 0.1292 0.1292 0.6123  3 In 3.23, 3 Hg 3.44
6 In 0.2523 0.2523 0.2430  3 Hg 2.93, 3 Ca 3.23
7 Hg 0.3999 0.3999 0.8002  3 In 2.93



This record from the Alexandria database describes a relaxed LiMgSi2Pt5 crystal. The functional is GGA-PBE.

Computed properties:
Formation energy from raw total energies in meV per atom: -532.7
Space group: P4/mmm
VASP energy in eV per cell: -49.35

a b c (Å): 3.8913 3.8913 10.7318
angles (deg): 90.00 90.00 90.00
Last column: nearest neighbours and their distance in Å.
Atoms (fractional coordinates):
1 Pt 0.5000 0.5000 0.5000  2 Si 2.35
2 Pt 0.5000 0.0000 0.1537  2 Si 2.38, 2 Li 2.55
3 Li 0.0000 0.0000 0.0000  8 Pt 2.55
4 Pt 0.0000 0.5000 0.8463  2 Si 2.38, 2 Li 2.55
5 Si 0.5000 0.5000 0.2814  5 Pt 2.35-2.38
6 Mg 0.0000 0.0000 0.5000  4 Pt 2.75
7 Pt 0.5000 0.0000 0.8463  2 Si 2.38, 2 Li 2.55
8 Si 0.5000 0.5000 0.7186  5 Pt 2.35-2.38
9 Pt 0.0000 0.5000 0.1537  2 Si 2.38, 2 Li 2.55



This record from the Alexandria database describes a relaxed CrCoGePdS crystal. The functional is GGA-PBE.

Computed properties:
Formation energy from raw total energies in meV per atom: -164.4
Space group: Cm
VASP energy in eV per cell: -62.98

a b c (Å): 6.1041 3.0672 7.6319
angles (deg): 90.00 89.52 90.00
Last column: nearest neighbours and their distance in Å.
Atoms (fractional coordinates):
1 Ge 0.6758 0.0000 0.3491  3 Co 2.46-2.52, 3 Pd 2.60-2.69, 1 Cr 2.75
2 S 0.1088 0.0000 0.0579  3 Cr 2.19-2.24, 2 Co 2.22
3 Pd 0.4408 0.0000 0.6490  1 Co 2.58, 3 Ge 2.60-2.69, 2 S 2.64, 2 Cr 2.87
4 Co 0.8631 0.0000 0.6331  2 S 2.22, 1 Ge 2.46
5 Ge 0.6758 0.5000 0.8491  3 Co 2.46-2.52, 3 Pd 2.60-2.69, 1 Cr 2.75
6 S 0.1088 0.5000 0.5579  3 Cr 2.19-2.24, 2 Co 2.22
7 Cr 0.1263 0.5000 0.8450  3 S 2.19-2.24
8 Co 0.8631 0.5000 0.1331  2 S 2.22, 1 Ge 2.46
9 Cr 0.1263 0.0000 0.3450  3 S 2.19-2.24
10 Pd 0.4408 0.5000 0.1490  1 Co 2.58, 3 Ge 2.60-2.69, 2 S 2.64, 2 Cr 2.87



This record from the Alexandria database describes a relaxed Tl2TeO4 crystal. The functional is GGA-PBE.

Computed properties:
Formation energy from raw total energies in meV per atom: -842.3
Space group: Pnma
VASP energy in eV per cell: -134.41

a b c (Å): 6.2256 8.1483 13.3617
angles (deg): 90.00 90.00 90.00
Last column: nearest neighbours and their distance in Å.
Atoms (fractional coordinates):
1 O 0.2594 0.7500 0.9079  1 Te 1.86
2 O 0.6647 0.9333 0.8356  1 Te 1.85
3 Te 0.9430 0.7500 0.4006  4 O 1.85-1.86
4 O 0.3353 0.4333 0.1644  1 Te 1.85
5 Tl 0.5000 0.5000 0.5000  6 O 2.88-3.08
6 O 0.3243 0.2500 0.9713  1 Te 1.86
7 Te 0.0570 0.2500 0.5994  4 O 1.85-1.86
8 Tl 0.0000 0.5000 0.0000  6 O 2.88-3.08
9 Tl 0.9953 0.2500 0.2869  3 O 2.71-2.84
10 Tl 0.0000 0.0000 0.0000  6 O 2.88-3.08
11 Tl 0.5000 0.0000 0.5000  6 O 2.88-3.08
12 O 0.6757 0.7500 0.0287  1 Te 1.86
13 Te 0.5570 0.7500 0.9006  4 O 1.85-1.86
14 O 0.8243 0.7500 0.5287  1 Te 1.86
15 O 0.1757 0.2500 0.4713  1 Te 1.86
16 O 0.2406 0.7500 0.4079  1 Te 1.86
17 Tl 0.5047 0.2500 0.7869  3 O 2.71-2.84
18 Te 0.4430 0.2500 0.0994  4 O 1.85-1.86
19 O 0.8353 0.9333 0.3356  1 Te 1.85
20 O 0.1647 0.4333 0.6644  1 Te 1.85
21 O 0.1647 0.0667 0.6644  1 Te 1.85
22 O 0.3353 0.0667 0.1644  1 Te 1.85
23 O 0.7406 0.2500 0.0921  1 Te 1.86
24 O 0.7594 0.2500 0.5921  1 Te 1.86
25 O 0.6647 0.5667 0.8356  1 Te 1.85
26 O 0.8353 0.5667 0.3356  1 Te 1.85
27 Tl 0.0047 0.7500 0.7131  3 O 2.71-2.84
28 Tl 0.4953 0.7500 0.2131  3 O 2.71-2.84



This record from the Alexandria database describes a relaxed Cd2TcCl crystal. The functional is GGA-PBE.

Computed properties:
Formation energy from raw total energies in meV per atom: 587.7
Space group: I-42d
VASP energy in eV per cell: -23.38

a b c (Å): 7.8325 7.8325 6.2435
angles (deg): 51.15 51.15 90.00
Last column: nearest neighbours and their distance in Å.
Atoms (fractional coordinates):
1 Cl 0.5000 0.5000 0.0000  2 Tc 2.88, 4 Cd 2.89
2 Tc 0.7500 0.2500 0.5000  4 Cd 2.83, 2 Cl 2.88
3 Tc 0.0000 0.0000 0.0000  4 Cd 2.83, 2 Cl 2.88
4 Cl 0.2500 0.7500 0.5000  2 Tc 2.88, 4 Cd 2.89
5 Cd 0.3750 0.3695 0.7500  2 Tc 2.83, 2 Cd 2.88, 2 Cl 2.89
6 Cd 0.6305 0.1250 0.2500  2 Tc 2.83, 2 Cd 2.88, 2 Cl 2.89
7 Cd 0.8750 0.8805 0.7500  2 Tc 2.83, 2 Cd 2.88, 2 Cl 2.89
8 Cd 0.1195 0.6250 0.2500  2 Tc 2.83, 2 Cd 2.88, 2 Cl 2.89



This record from the Alexandria database describes a relaxed Zr2TlRh crystal. The functional is GGA-PBE.

Computed properties:
ΔE_f in eV per atom: -0.231
Space group: R-3m
VASP energy in eV per cell: -27.74

a b c (Å): 8.7675 8.7675 8.7675
angles (deg): 22.83 22.83 22.83
Last column: nearest neighbours and their distance in Å.
Atoms (fractional coordinates):
1 Tl 0.7500 0.7500 0.7500  6 Zr 3.20, 6 Tl 3.47
2 Zr 0.9858 0.9858 0.9858  3 Rh 2.67
3 Zr 0.5142 0.5142 0.5142  3 Rh 2.67
4 Rh 0.2500 0.2500 0.2500  6 Zr 2.67



This record from the Alexandria database describes a relaxed LiYRu3 crystal. The functional is GGA-PBE.

Computed properties:
ΔE_f in eV per atom: 1.815
Space group: Pm-3m
VASP energy in eV per cell: -27.13

a b c (Å): 4.9555 4.9555 4.9555
angles (deg): 90.00 90.00 90.00
Last column: nearest neighbours and their distance in Å.
Atoms (fractional coordinates):
1 Li 0.5000 0.5000 0.5000  12 Ru 3.50
2 Ru 0.5000 0.0000 0.0000  2 Y 2.48
3 Y 0.0000 0.0000 0.0000  6 Ru 2.48
4 Ru 0.0000 0.0000 0.5000  2 Y 2.48
5 Ru 0.0000 0.5000 0.0000  2 Y 2.48



This record from the Alexandria database describes a relaxed Pr8Ga2Rh crystal. The functional is GGA-PBE.

Computed properties:
ΔE_f in eV per atom: -0.221
Space group: Immm
VASP energy in eV per cell: -54.07

a b c (Å): 4.8459 9.1137 8.9575
angles (deg): 120.58 105.69 90.00
Last column: nearest neighbours and their distance in Å.
Atoms (fractional coordinates):
1 Pr 0.6611 0.4432 0.3222  3 Ga 3.18-3.29, 2 Pr 3.41, 1 Rh 3.49
2 Rh 0.5000 0.0000 0.0000  4 Pr 3.02
3 Pr 0.1225 0.1225 0.2451  2 Rh 3.02
4 Ga 0.8008 0.3008 0.6016  10 Pr 3.18-3.56
5 Pr 0.0000 0.6687 0.0000  5 Pr 3.08-3.41, 2 Ga 3.30
6 Pr 0.3389 0.1211 0.6778  3 Ga 3.18-3.29, 2 Pr 3.41, 1 Rh 3.49
7 Pr 0.8775 0.8775 0.7549  2 Rh 3.02
8 Pr 0.6611 0.8789 0.3222  3 Ga 3.18-3.29, 2 Pr 3.41, 1 Rh 3.49
9 Ga 0.1992 0.6992 0.3984  10 Pr 3.18-3.56
10 Pr 0.3389 0.5568 0.6778  3 Ga 3.18-3.29, 2 Pr 3.41, 1 Rh 3.49
11 Pr 0.0000 0.3313 0.0000  5 Pr 3.08-3.41, 2 Ga 3.30



This record from the Alexandria database describes a relaxed NbBi3F crystal. The functional is GGA-PBE.

Computed properties:
Formation energy from raw total energies in meV per atom: 1.1
Space group: Pm-3m
VASP energy in eV per cell: -23.58

a b c (Å): 5.4383 5.4383 5.4383
angles (deg): 90.00 90.00 90.00
Last column: nearest neighbours and their distance in Å.
Atoms (fractional coordinates):
1 Nb 0.0000 0.0000 0.0000  6 Bi 2.72
2 Bi 0.0000 0.0000 0.5000  2 Nb 2.72
3 Bi 0.5000 0.0000 0.0000  2 Nb 2.72
4 F 0.5000 0.5000 0.5000  12 Bi 3.85
5 Bi 0.0000 0.5000 0.0000  2 Nb 2.72



This record from the Alexandria database describes a relaxed BaPt2Se crystal. The functional is GGA-PBE.

Computed properties:
Formation energy from raw total energies in meV per atom: -735.1
Space group: Pm
VASP energy in eV per cell: -20.43

a b c (Å): 4.6245 4.8292 4.7735
angles (deg): 87.02 90.00 90.00
Last column: nearest neighbours and their distance in Å.
Atoms (fractional coordinates):
1 Pt 0.5000 0.2773 0.2357  2 Se 2.53, 2 Pt 2.77
2 Pt 0.0000 0.9667 0.2017  2 Se 2.43-2.52
3 Ba 0.5000 0.7862 0.7451  8 Pt 3.31-3.55, 2 Se 3.49
4 Se 0.0000 0.4698 0.3175  4 Pt 2.43-2.53



This record from the Alexandria database describes a relaxed Tl8CdIn4 crystal. The functional is GGA-PBE.

Computed properties:
ΔE_f in eV per atom: 0.090
Space group: R-3m
VASP energy in eV per cell: -29.63

a b c (Å): 7.4544 7.4544 7.4544
angles (deg): 91.93 91.93 91.93
Last column: nearest neighbours and their distance in Å.
Atoms (fractional coordinates):
1 In 0.5000 0.0000 0.5000  8 Tl 3.22-3.27
2 Tl 0.7602 0.2552 0.7602  4 In 3.20-3.25, 1 Cd 3.33
3 Tl 0.2552 0.7602 0.7602  4 In 3.20-3.25, 1 Cd 3.33
4 Tl 0.7602 0.7602 0.2552  4 In 3.20-3.25, 1 Cd 3.33
5 In 0.5000 0.5000 0.0000  8 Tl 3.22-3.27
6 Tl 0.2488 0.2488 0.2488  4 In 3.10-3.27, 1 Cd 3.13
7 In 0.0000 0.0000 0.0000  8 Tl 3.10-3.20
8 Tl 0.7512 0.7512 0.7512  4 In 3.10-3.27, 1 Cd 3.13
9 Tl 0.2398 0.7448 0.2398  4 In 3.20-3.25, 1 Cd 3.33
10 Tl 0.7448 0.2398 0.2398  4 In 3.20-3.25, 1 Cd 3.33
11 Tl 0.2398 0.2398 0.7448  4 In 3.20-3.25, 1 Cd 3.33
12 Cd 0.5000 0.5000 0.5000  8 Tl 3.13-3.33
13 In 0.0000 0.5000 0.5000  8 Tl 3.22-3.27